1.
Computed, not measured: a relaxed structure of AsPS3 at the GGA-PBE level of DFT.

abc: 4.4891 4.4891 4.4891
angles: 90.00 90.00 90.00
Fractional positions:
S 0.0000 0.0000 0.5000
S 0.5000 0.0000 0.0000
S 0.0000 0.5000 0.0000
P 0.0000 0.0000 0.0000
As 0.5000 0.5000 0.5000

Properties
magnetization: 0.00 μB per atom
energy relative to the elements, uncorrected: 0.611 eV per atom
energy relative to the lowest polymorph listed for this composition: 0.719 eV per atom
mass density: 3.71 g/cm³
calculated total energy: -19.39 eV per formula unit

***

2.
Computed, not measured: a relaxed structure of Be2CuW at the GGA-PBE level of DFT.

abc: 3.6001 2.6608 4.8456
angles: 74.12 90.00 90.00
Fractional positions:
Be 0.5000 0.0573 0.2630
Be 0.0000 0.1832 0.0078
W 0.5000 0.7908 0.7910
Cu 0.0000 0.4687 0.4382

Properties
magnetization: 0.00 μB per atom
energy of formation from the pure elements: 0.1223 eV/atom
energy relative to the lowest polymorph listed for this composition: 0.116 eV per atom
mass density: 9.87 g/cm³
calculated total energy: -24.01 eV per formula unit